The following is a DFT calculation (GGA-PBE) of a relaxed structure of Dy8Cd2Ga.

Computed properties:
M_tot = 0.00 μB/atom
Uncorrected energy = -3.97 eV/atom

Lattice parameters (Å, degrees): 9.348 9.348 6.958 105.92 105.92 32.44
Fractional coordinates of all 11 atoms:
Dy (0.020, 0.020, 0.271)
Dy (0.199, 0.199, 0.800)
Dy (0.339, 0.339, 0.534)
Dy (0.408, 0.408, 0.048)
Dy (0.592, 0.592, 0.952)
Dy (0.661, 0.661, 0.466)
Dy (0.801, 0.801, 0.200)
Dy (0.980, 0.980, 0.729)
Cd (0.184, 0.184, 0.217)
Cd (0.816, 0.816, 0.783)
Ga (0.500, 0.500, 0.500)

The following is a DFT calculation (GGA-PBE) of a relaxed structure of BeCrReIr.

Computed properties:
M_tot = 0.00 μB/atom
Uncorrected energy = -8.77 eV/atom

Lattice parameters (Å, degrees): 5.841 5.841 5.841 90.00 90.00 90.00
Fractional coordinates of all 16 atoms:
Be (0.000, 0.000, 0.000)
Be (0.000, 0.500, 0.500)
Be (0.500, 0.000, 0.500)
Be (0.500, 0.500, 0.000)
Cr (0.000, 0.000, 0.500)
Cr (0.000, 0.500, 0.000)
Cr (0.500, 0.000, 0.000)
Cr (0.500, 0.500, 0.500)
Re (0.250, 0.250, 0.750)
Re (0.250, 0.750, 0.250)
Re (0.750, 0.250, 0.250)
Re (0.750, 0.750, 0.750)
Ir (0.250, 0.250, 0.250)
Ir (0.250, 0.750, 0.750)
Ir (0.750, 0.250, 0.750)
Ir (0.750, 0.750, 0.250)

- Which value of uncorrected energy does entry 1 give?
  -3.97 eV/atom